[1]
Nd2HgBi | GGA-PBE | optimized geometry

Values from the calculation:
polymorph energy (0 for the lowest one)	62	meV per atom
symmetry	No. 225
energy of formation from the pure elements	-2.32	eV per formula unit
total DFT energy (no corrections)	-4.01	eV per atom

abc: 5.514 5.514 5.514
angles: 60.00 60.00 60.00
Sites, in units of the cell vectors:
Nd 0.250 0.250 0.250
Nd 0.750 0.750 0.750
Hg 0.000 0.000 0.000
Bi 0.500 0.500 0.500


[2]
Nd8HgBi5 | GGA-PBE | optimized geometry

Values from the calculation:
symmetry	No. 82
energy of formation from the pure elements	-10.56	eV per formula unit
total DFT energy (no corrections)	-4.89	eV per atom

abc: 8.373 8.373 8.373
angles: 109.80 109.80 108.82
Sites, in units of the cell vectors:
Nd 0.125 0.376 0.104
Nd 0.130 0.376 0.613
Nd 0.271 0.021 0.896
Nd 0.483 0.870 0.247
Nd 0.624 0.236 0.753
Nd 0.624 0.729 0.749
Nd 0.764 0.517 0.387
Nd 0.979 0.875 0.251
Hg 0.500 0.500 0.000
Bi 0.250 0.750 0.500
Bi 0.373 0.246 0.372
Bi 0.754 0.126 0.127
Bi 0.874 0.001 0.628
Bi 0.999 0.627 0.873